(1)
Entry from Alexandria: crystalline PmAs2Ir2 at its relaxed geometry (PBE-GGA).

Properties
E = -7.0941 eV/atom
Calculated volume = 18.54 Å³/atom
ΔE_f = -740 meV per atom

POSCAR file:
```
PmAs2Ir2
1.0
4.2641 0.0000 0.0000
0.0000 4.2641 0.0000
0.0000 0.0000 10.1972
Pm As Ir
2 4 4
Cartesian
1.0660 1.0660 2.5477
3.1981 3.1981 7.6495
1.0660 1.0660 6.5167
1.0660 3.1981 0.0000
3.1981 1.0660 0.0000
3.1981 3.1981 3.6805
1.0660 1.0660 8.9437
1.0660 3.1981 5.0986
3.1981 1.0660 5.0986
3.1981 3.1981 1.2535
```

---

(2)
Entry from Alexandria: crystalline Be2NiAs at its relaxed geometry (PBE-GGA).

Properties
E = -4.2521 eV/atom
Calculated volume = 11.82 Å³/atom
ΔE_f = 219 meV per atom

POSCAR file:
```
Be2NiAs
1.0
1.3772 0.7951 7.1954
-1.3772 0.7951 7.1954
0.0000 -1.5903 7.1954
Be Ni As
2 1 1
Cartesian
0.0000 0.0000 5.2153
0.0000 0.0000 16.3709
0.0000 0.0000 10.7931
0.0000 0.0000 0.0000
```

---

(3)
Entry from Alexandria: crystalline PrSmC at its relaxed geometry (PBE-GGA).

Properties
E = -6.3560 eV/atom
Calculated volume = 25.95 Å³/atom
ΔE_f = -115 meV per atom

POSCAR file:
```
PrSmC
1.0
3.1917 -1.8448 0.0000
3.1917 1.8448 0.0000
-2.1153 0.0000 6.6121
Pr Sm C
1 1 1
Cartesian
0.0000 0.0000 0.0000
2.1393 0.0000 3.7931
0.0124 0.0000 5.1317
```

---

(4)
Entry from Alexandria: crystalline NdY2Os at its relaxed geometry (PBE-GGA).

Properties
E = -7.4031 eV/atom
Calculated volume = 27.99 Å³/atom
ΔE_f = -172 meV per atom

POSCAR file:
```
NdY2Os
1.0
1.9855 -6.1492 0.0000
1.9855 6.1492 0.0000
0.0000 0.0000 9.1705
Nd Y Os
2 4 2
Cartesian
1.9855 5.2214 6.8779
1.9855 -5.2214 2.2926
1.9855 1.8078 5.2111
1.9855 1.8078 8.5447
1.9855 -1.8078 0.6258
1.9855 -1.8078 3.9594
1.9855 2.9947 2.2926
1.9855 -2.9947 6.8779
```

---

(5)
Entry from Alexandria: crystalline Pm3Y2In at its relaxed geometry (PBE-GGA).

Properties
E = -5.1455 eV/atom
Calculated volume = 31.28 Å³/atom
ΔE_f = -159 meV per atom

POSCAR file:
```
Pm3Y2In
1.0
2.4761 -7.6289 0.0000
2.4761 7.6289 0.0000
0.0000 0.0000 4.9670
Pm Y In
3 2 1
Cartesian
0.0000 0.0000 0.0000
2.4761 2.5701 0.0000
2.4761 -2.5701 0.0000
2.4761 5.1742 2.4835
2.4761 -5.1742 2.4835
2.4761 0.0000 2.4835
```

---

(6)
Entry from Alexandria: crystalline MnTl4Bi3S8 at its relaxed geometry (PBE-GGA).

Properties
E = -4.3480 eV/atom
Formation energy without anion corrections = -38 kJ/mol of atoms
Calculated volume = 26.08 Å³/atom

POSCAR file:
```
MnTl4Bi3S8
1.0
4.0422 2.3337 7.3719
-4.0422 2.3337 7.3719
0.0000 -4.6675 7.3719
Mn Tl Bi S
1 4 3 8
Cartesian
0.0000 0.0000 0.0000
-4.0421 0.0000 11.0578
-2.0211 1.1669 3.6859
2.0211 1.1669 3.6859
0.0000 0.0000 11.0578
-2.0211 -1.1669 7.3719
-2.0211 1.1669 14.7437
0.0000 2.3337 7.3718
0.0000 -2.5405 8.8206
-2.2001 1.2702 8.8206
-2.2001 -1.2702 13.2950
0.0000 0.0000 5.7765
0.0000 0.0000 16.3391
2.2001 1.2702 8.8206
2.2001 -1.2702 13.2950
0.0000 2.5405 13.2950
```

---

(7)
Entry from Alexandria: crystalline AcPm2TaN4 at its relaxed geometry (PBE-GGA).

Properties
E = -8.5244 eV/atom
Formation energy without anion corrections = -114 kJ/mol of atoms
Calculated volume = 17.29 Å³/atom

POSCAR file:
```
AcPm2TaN4
1.0
1.7715 -6.2851 0.0000
1.7715 6.2851 0.0000
0.0000 0.0000 12.4223
Ac Pm Ta N
2 4 2 8
Cartesian
1.7715 5.1413 9.3167
1.7715 -5.1413 3.1056
1.7715 1.6223 6.6511
1.7715 1.6223 11.9824
1.7715 -1.6223 0.4399
1.7715 -1.6223 5.7712
1.7715 4.1512 3.1056
1.7715 -4.1512 9.3167
0.0000 0.0000 0.0000
0.0000 0.0000 6.2112
1.7715 2.9732 1.5742
1.7715 2.9732 4.6370
1.7715 0.9922 9.3167
1.7715 -0.9922 3.1056
1.7715 -2.9732 7.7853
1.7715 -2.9732 10.8482
```

---

(8)
Entry from Alexandria: crystalline K3PaSi2O8 at its relaxed geometry (PBE-GGA).

Properties
E = -7.2381 eV/atom
Formation energy without anion corrections = -262 kJ/mol of atoms
Calculated volume = 16.79 Å³/atom

POSCAR file:
```
K3PaSi2O8
1.0
5.7224 0.0000 0.0000
-2.8612 4.9558 0.0000
0.0000 0.0000 8.2885
K Pa Si O
3 1 2 8
Cartesian
0.0000 0.0000 0.0000
0.0000 3.3038 6.4133
2.8612 1.6519 1.8752
0.0000 0.0000 4.1443
0.0000 3.3038 2.2271
2.8612 1.6519 6.0614
0.0000 1.7553 2.8534
-1.3411 4.0781 2.8534
0.0000 3.3038 0.6383
1.5201 0.8776 5.4351
1.3411 4.0781 2.8534
2.8612 1.6519 7.6502
4.2023 0.8776 5.4351
2.8612 3.2005 5.4351
```